# 1
Material: MgCoHg3
Method: DFT, meta-GGA SCAN
State: PBEsol geometry

a b c (Å): 5.1791 5.1791 5.1791
angles (deg): 90.00 90.00 90.00
With the nearest neighbours (Å) after each atom.
Space group Pm-3m (No. 221)
Inequivalent atoms, fractional coordinates:
Mg 0.0000 0.0000 0.0000 x1  6 Hg 2.59
Co 0.5000 0.5000 0.5000 x1  12 Hg 3.66
Hg 0.0000 0.0000 0.5000 x3  2 Mg 2.59

Computed properties:
energy of formation = 0.702 eV per atom
size of the total moment = 2.17 μB per formula unit



# 2
Material: MgCo2Hg
Method: DFT, meta-GGA SCAN
State: PBEsol geometry

a b c (Å): 3.9084 3.9084 7.4454
angles (deg): 90.00 90.00 90.00
With the nearest neighbours (Å) after each atom.
Space group I-4m2 (No. 119)
Inequivalent atoms, fractional coordinates:
Mg 0.0000 0.0000 0.0000 x2  4 Hg 2.70, 8 Co 2.70-2.76
Co 0.0000 0.0000 0.5000 x2  4 Hg 2.70, 4 Co 2.70, 4 Mg 2.76
Co 0.0000 0.5000 0.2500 x2  4 Co 2.70, 4 Mg 2.70, 4 Hg 2.76
Hg 0.0000 0.5000 0.7500 x2  8 Co 2.70-2.76, 4 Mg 2.70

Computed properties:
energy of formation = 0.193 eV per atom
size of the total moment = 3.21 μB per formula unit



# 3
Material: MnCo2Hg
Method: DFT, meta-GGA SCAN
State: PBEsol geometry

a b c (Å): 2.6445 2.6445 7.0993
angles (deg): 90.00 90.00 90.00
With the nearest neighbours (Å) after each atom.
Space group P4/mmm (No. 123)
Inequivalent atoms, fractional coordinates:
Mn 0.0000 0.0000 0.0000 x1  8 Co 2.38, 4 Mn 2.64
Co 0.5000 0.5000 0.2083 x2  4 Mn 2.38, 4 Co 2.64
Hg 0.0000 0.0000 0.5000 x1  4 Hg 2.64, 8 Co 2.79

Computed properties:
energy of formation = 0.364 eV per atom
size of the total moment = 4.80 μB per formula unit



# 4
Material: MnCo2Hg
Method: DFT, meta-GGA SCAN
State: PBEsol geometry

a b c (Å): 2.9394 2.9394 6.2215
angles (deg): 90.00 90.00 90.00
With the nearest neighbours (Å) after each atom.
Space group P4mm (No. 99)
Inequivalent atoms, fractional coordinates:
Mn 0.0000 0.0000 0.0000 x1  5 Co 2.48-2.54
Co 0.0000 0.0000 0.4076 x1  4 Co 2.39, 1 Mn 2.54
Co 0.5000 0.5000 0.2185 x1  4 Co 2.39, 4 Mn 2.48
Hg 0.5000 0.5000 0.6954 x1  5 Co 2.74-2.97, 4 Mn 2.81, 4 Hg 2.94

Computed properties:
energy of formation = 0.031 eV per atom
size of the total moment = 7.03 μB per formula unit